The following is a DFT calculation (PBE-GGA) of crystalline Dy4AsSe3 at its relaxed geometry.

Output
**Crystal system**: cubic
**Final energy**: -5.9224 eV/atom

a = 5.764 Å, b = 5.764 Å, c = 5.764 Å
α = 90.00°, β = 90.00°, γ = 90.00°
Space group Pm-3m (No. 221)
Inequivalent atoms, fractional coordinates:
Dy 0.000 0.000 0.000 x1
Dy 0.000 0.500 0.500 x3
As 0.500 0.500 0.500 x1
Se 0.000 0.000 0.500 x3